{"formula": "InCuTe2", "functional": "PBE-GGA", "state": "relaxed", "formation_energy_uncorrected_ev_per_atom": -0.23, "spacegroup": "P2_1", "lattice_angstrom": [[4.465, 0.000, 0.000], [0.000, 6.280, 0.000], [0.000, 0.000, 8.953]], "species": ["In", "In", "Cu", "Cu", "Te", "Te", "Te", "Te"], "frac_coords": [[0.250, 0.000, 0.145], [0.750, 0.500, 0.855], [0.249, 0.966, 0.608], [0.751, 0.466, 0.392], [0.250, 0.203, 0.853], [0.251, 0.255, 0.399], [0.749, 0.755, 0.601], [0.750, 0.703, 0.147]]}

{"formula": "ZnPbCl2", "functional": "PBE-GGA", "state": "relaxed", "e_above_lowest_polymorph_ev_per_atom": 0.142, "formation_energy_uncorrected_ev_per_atom": -0.53, "spacegroup": "Cmmm", "lattice_angstrom": [[1.701, -3.134, 0.000], [1.701, 3.134, 0.000], [0.000, 0.000, 11.535]], "species": ["Zn", "Pb", "Cl", "Cl"], "frac_coords": [[0.000, 0.000, 0.000], [0.000, 0.000, 0.500], [0.500, 0.500, 0.141], [0.500, 0.500, 0.859]]}

{"formula": "LiMgV", "functional": "PBE-GGA", "state": "relaxed", "e_above_lowest_polymorph_ev_per_atom": 0.509, "e_form_ev_per_atom": 0.727, "spacegroup": "P4/nmm", "lattice_angstrom": [[3.538, 0.000, 0.000], [0.000, 3.538, 0.000], [0.000, 0.000, 9.163]], "species": ["Li", "Li", "Mg", "Mg", "V", "V"], "frac_coords": [[0.250, 0.250, 0.235], [0.750, 0.750, 0.765], [0.250, 0.750, 0.500], [0.750, 0.250, 0.500], [0.250, 0.250, 0.951], [0.750, 0.750, 0.049]]}

{"formula": "In2OsAu", "functional": "PBE-GGA", "state": "relaxed", "e_form_ev_per_atom": 0.396, "spacegroup": "P2/m", "lattice_angstrom": [[4.752, 0.000, 0.000], [0.000, 3.272, 0.000], [-1.889, 0.000, 4.856]], "species": ["In", "In", "Os", "Au"], "frac_coords": [[0.000, 0.000, 0.000], [0.000, 0.500, 0.500], [0.500, 0.000, 0.500], [0.500, 0.500, 0.000]]}

{"formula": "CeCdTc2O8", "functional": "PBE-GGA", "state": "relaxed", "formation_energy_uncorrected_ev_per_atom": -1.66, "spacegroup": "P-3", "lattice_angstrom": [[6.272, 0.000, 0.000], [-3.136, 5.432, 0.000], [0.000, 0.000, 7.719]], "species": ["Ce", "Cd", "Tc", "Tc", "O", "O", "O", "O", "O", "O", "O", "O"], "frac_coords": [[0.000, 0.000, 0.000], [0.000, 0.000, 0.500], [0.333, 0.667, 0.242], [0.667, 0.333, 0.758], [0.177, 0.355, 0.165], [0.179, 0.823, 0.165], [0.333, 0.667, 0.465], [0.355, 0.179, 0.835], [0.645, 0.821, 0.165], [0.667, 0.333, 0.535], [0.821, 0.177, 0.835], [0.823, 0.645, 0.835]]}

{"formula": "HfAsPb2", "functional": "PBE-GGA", "state": "relaxed", "e_form_ev_per_atom": 0.698, "spacegroup": "I-42d", "lattice_angstrom": [[-3.318, 3.318, 6.583], [3.318, -3.318, 6.583], [3.318, 3.318, -6.583]], "species": ["Hf", "Hf", "As", "As", "Pb", "Pb", "Pb", "Pb"], "frac_coords": [[0.000, 0.000, 0.000], [0.750, 0.250, 0.500], [0.250, 0.750, 0.500], [0.500, 0.500, 0.000], [0.135, 0.625, 0.010], [0.375, 0.385, 0.510], [0.615, 0.125, 0.990], [0.875, 0.865, 0.490]]}